TlAuSe | meta-GGA SCAN | PBEsol geometry

Values from the calculation:
As for the formation energy without anion corrections: -21.41 kJ/mol of atoms. As for the size of the total moment: 0.0 μB per formula unit. For the density, the calculation gives 10.65 g/cm3. The calculation puts the total energy at -54.0865 eV/atom.

Lattice parameters (Å, degrees): 4.405 4.405 4.454 90.00 90.00 120.00
Fractional positions:
Tl 0.000 0.000 0.000
Au 0.333 0.667 0.500
Se 0.667 0.333 0.500

***

CoAg2Sb | meta-GGA SCAN | PBEsol geometry

Values from the calculation:
As for the formation energy without anion corrections: 40.10 kJ/mol of atoms. As for the size of the total moment: 1.6 μB per formula unit. For the density, the calculation gives 9.13 g/cm3. The calculation puts the total energy at -28.9091 eV/atom.

Lattice parameters (Å, degrees): 5.900 5.900 5.900 100.71 100.71 128.93
Fractional positions:
Co 0.000 0.000 0.000
Co 0.750 0.250 0.500
Ag 0.090 0.625 0.965
Ag 0.375 0.340 0.465
Ag 0.660 0.125 0.035
Ag 0.875 0.910 0.535
Sb 0.250 0.750 0.500
Sb 0.500 0.500 0.000